# 1
The following is a PBE calculation of crystalline MgScReN2 at its relaxed geometry, from Alexandria via LeMat-Bulk.

## Properties
ΔE_f (raw): 1.543 eV/atom
Electronic total energy: -29.31 eV for the cell shown
Total moment: 0.75 Bohr magnetons per cell

a b c (Å): 4.1042 4.1042 5.1434
angles (deg): 90.00 90.00 90.00
Closest atoms and distances in Å follow each position.
Space group P4/mmm (No. 123)
Asymmetric unit:
Mg 0.0000 0.0000 0.0000 [1 per cell]  4 Re 2.90
Sc 0.5000 0.5000 0.5000 [1 per cell]  4 N 2.05
Re 0.5000 0.5000 0.0000 [1 per cell]  2 Sc 2.57
N 0.0000 0.5000 0.5000 [2 per cell]  2 Sc 2.05



# 2
The following is a PBE calculation of crystalline TbErSc at its relaxed geometry, from Alexandria via LeMat-Bulk.

## Properties
Electronic total energy: -15.29 eV for the cell shown
DFT formation energy: 76.6 meV/atom
Total moment: 0.00 Bohr magnetons per cell

a b c (Å): 5.4469 5.4469 3.3591
angles (deg): 90.00 90.00 120.00
Closest atoms and distances in Å follow each position.
Space group P-6m2 (No. 187)
Asymmetric unit:
Tb 0.0000 0.0000 0.0000 [1 per cell]  2 Tb 3.36, 6 Er 3.57, 6 Sc 3.57
Er 0.3333 0.6667 0.5000 [1 per cell]  3 Sc 3.14, 2 Er 3.36
Sc 0.6667 0.3333 0.5000 [1 per cell]  3 Er 3.14, 2 Sc 3.36



# 3
The following is a PBE calculation of crystalline La2PmTm at its relaxed geometry, from Alexandria via LeMat-Bulk.

## Properties
Electronic total energy: -56.89 eV for the cell shown
DFT formation energy: 28.3 meV/atom
Total moment: 0.00 Bohr magnetons per cell

a b c (Å): 3.6643 3.6643 35.6684
angles (deg): 90.00 90.00 120.00
Closest atoms and distances in Å follow each position.
Space group R3m (No. 160, hexagonal axes)
Asymmetric unit:
La 0.0000 0.0000 0.0000 [3 per cell]  3 Tm 3.58, 3 Pm 3.66, 6 La 3.66
La 0.0000 0.0000 0.1696 [3 per cell]  3 Tm 3.63, 6 La 3.66, 3 Pm 3.72
Pm 0.0000 0.0000 0.4171 [3 per cell]  6 La 3.66-3.72, 6 Pm 3.66
Tm 0.0000 0.0000 0.5856 [3 per cell]  6 La 3.58-3.63, 6 Tm 3.66